--- i ---
The following is a GGA-PBE calculation of Ac3S2N after structural relaxation, from Alexandria.

The symmetry is No. 139. The magnetization comes out at 0.000 μB/atom. The density of states at the Fermi level is 1.79 states/eV/f.u.

abc: 9.327 9.327 9.327
angles: 153.90 153.90 37.24
Sites, in units of the cell vectors:
Ac 0.000 0.000 0.000
Ac 0.351 0.351 0.000
Ac 0.649 0.649 0.000
S 0.170 0.170 0.000
S 0.830 0.830 0.000
N 0.500 0.500 0.000



--- ii ---
The following is a GGA-PBE calculation of Ac3S2N after structural relaxation, from Alexandria.

The symmetry is No. 36. The magnetization comes out at 0.000 μB/atom. The density of states at the Fermi level is 3.00 states/eV/f.u.

abc: 8.467 8.467 6.038
angles: 90.00 90.00 59.65
Sites, in units of the cell vectors:
Ac 0.124 0.876 0.500
Ac 0.147 0.551 0.999
Ac 0.449 0.853 0.999
Ac 0.551 0.147 0.499
Ac 0.853 0.449 0.499
Ac 0.876 0.124 0.000
S 0.188 0.496 0.499
S 0.496 0.188 0.999
S 0.504 0.812 0.499
S 0.812 0.504 0.999
N 0.171 0.829 0.996
N 0.829 0.171 0.496



Verdict on stability: i comes out on top.



--- i ---
The following is a GGA-PBE calculation of Ac3SbN2 after structural relaxation, from Alexandria.

The symmetry is No. 12. The magnetization comes out at 0.000 μB/atom. The density of states at the Fermi level is 0.57 states/eV/f.u.

abc: 12.122 12.122 7.269
angles: 105.00 105.00 21.46
Sites, in units of the cell vectors:
Ac 0.047 0.047 0.247
Ac 0.227 0.227 0.186
Ac 0.397 0.397 0.145
Ac 0.603 0.603 0.855
Ac 0.773 0.773 0.814
Ac 0.953 0.953 0.753
Sb 0.355 0.355 0.567
Sb 0.645 0.645 0.433
N 0.060 0.060 0.933
N 0.298 0.298 0.996
N 0.702 0.702 0.004
N 0.940 0.940 0.067



--- ii ---
The following is a GGA-PBE calculation of Ac3SbN2 after structural relaxation, from Alexandria.

The symmetry is No. 63. The magnetization comes out at 0.000 μB/atom.

abc: 7.786 7.786 6.179
angles: 90.00 90.00 100.58
Sites, in units of the cell vectors:
Ac 0.100 0.900 0.750
Ac 0.178 0.386 0.750
Ac 0.386 0.178 0.250
Ac 0.614 0.822 0.750
Ac 0.822 0.614 0.250
Ac 0.900 0.100 0.250
Sb 0.317 0.683 0.250
Sb 0.683 0.317 0.750
N 0.159 0.159 0.000
N 0.159 0.159 0.500
N 0.841 0.841 0.000
N 0.841 0.841 0.500



Verdict on stability: ii comes out on top.



--- i ---
The following is a GGA-PBE calculation of AcSc2N after structural relaxation, from Alexandria.

The symmetry is No. 123. The magnetization comes out at 0.062 μB/atom. The density of states at the Fermi level is 4.98 states/eV/f.u.

abc: 3.138 3.138 8.355
angles: 90.00 90.00 90.00
Sites, in units of the cell vectors:
Ac 0.000 0.000 0.000
Sc 0.500 0.500 0.348
Sc 0.500 0.500 0.652
N 0.000 0.000 0.500



--- ii ---
The following is a GGA-PBE calculation of AcSc2N after structural relaxation, from Alexandria.

The symmetry is No. 166. The magnetization comes out at 0.000 μB/atom. The density of states at the Fermi level is 4.22 states/eV/f.u.

abc: 9.528 9.528 9.528
angles: 20.23 20.23 20.23
Sites, in units of the cell vectors:
Ac 0.000 0.000 0.000
Sc 0.124 0.124 0.124
Sc 0.876 0.876 0.876
N 0.500 0.500 0.500



Verdict on stability: ii comes out on top.



--- i ---
The following is a GGA-PBE calculation of Ac3Se2N after structural relaxation, from Alexandria.

The symmetry is No. 63. The magnetization comes out at 0.000 μB/atom. The density of states at the Fermi level is 3.21 states/eV/f.u.

abc: 7.409 7.409 7.714
angles: 90.00 90.00 61.26
Sites, in units of the cell vectors:
Ac 0.081 0.919 0.750
Ac 0.359 0.359 0.000
Ac 0.359 0.359 0.500
Ac 0.641 0.641 0.000
Ac 0.641 0.641 0.500
Ac 0.919 0.081 0.250
Se 0.010 0.379 0.750
Se 0.379 0.010 0.250
Se 0.621 0.990 0.750
Se 0.990 0.621 0.250
N 0.404 0.596 0.750
N 0.596 0.404 0.250



--- ii ---
The following is a GGA-PBE calculation of Ac3Se2N after structural relaxation, from Alexandria.

The symmetry is No. 36. The magnetization comes out at 0.000 μB/atom. The density of states at the Fermi level is 3.42 states/eV/f.u.

abc: 8.667 8.667 6.260
angles: 90.00 90.00 59.99
Sites, in units of the cell vectors:
Ac 0.114 0.886 0.500
Ac 0.144 0.564 0.981
Ac 0.436 0.856 0.981
Ac 0.564 0.144 0.481
Ac 0.856 0.436 0.481
Ac 0.886 0.114 0.000
Se 0.191 0.495 0.484
Se 0.495 0.191 0.984
Se 0.505 0.809 0.484
Se 0.809 0.505 0.984
N 0.168 0.832 0.950
N 0.832 0.168 0.450



Verdict on stability: ii comes out on top.



--- i ---
The following is a GGA-PBE calculation of Ac3Se3N after structural relaxation, from Alexandria.

The symmetry is No. 14. The magnetization comes out at 0.000 μB/atom. The density of states at the Fermi level is 0.00 states/eV/f.u.

abc: 8.774 7.814 12.385
angles: 90.00 99.32 90.00
Sites, in units of the cell vectors:
Ac 0.071 0.061 0.372
Ac 0.071 0.439 0.872
Ac 0.250 0.633 0.514
Ac 0.250 0.867 0.014
Ac 0.377 0.073 0.655
Ac 0.377 0.427 0.155
Ac 0.623 0.573 0.845
Ac 0.623 0.927 0.345
Ac 0.750 0.133 0.986
Ac 0.750 0.367 0.486
Ac 0.929 0.561 0.128
Ac 0.929 0.939 0.628
Se 0.095 0.170 0.121
Se 0.095 0.330 0.621
Se 0.286 0.739 0.782
Se 0.286 0.761 0.282
Se 0.402 0.242 0.915
Se 0.402 0.258 0.415
Se 0.598 0.742 0.585
Se 0.598 0.758 0.085
Se 0.714 0.239 0.718
Se 0.714 0.261 0.218
Se 0.905 0.670 0.379
Se 0.905 0.830 0.879
N 0.177 0.577 0.039
N 0.177 0.923 0.539
N 0.823 0.077 0.461
N 0.823 0.423 0.961



--- ii ---
The following is a GGA-PBE calculation of Ac3Se3N after structural relaxation, from Alexandria.

The symmetry is No. 12. The magnetization comes out at 0.000 μB/atom.

abc: 7.847 7.847 7.723
angles: 95.83 95.83 113.14
Sites, in units of the cell vectors:
Ac 0.103 0.103 0.315
Ac 0.160 0.458 0.774
Ac 0.458 0.160 0.774
Ac 0.542 0.840 0.226
Ac 0.840 0.542 0.226
Ac 0.897 0.897 0.685
Se 0.166 0.834 0.000
Se 0.241 0.759 0.500
Se 0.394 0.394 0.152
Se 0.606 0.606 0.848
Se 0.759 0.241 0.500
Se 0.834 0.166 0.000
N 0.179 0.179 0.645
N 0.821 0.821 0.355



Verdict on stability: i comes out on top.



--- i ---
The following is a GGA-PBE calculation of Ac2SiN after structural relaxation, from Alexandria.

The symmetry is No. 15. The magnetization comes out at 0.000 μB/atom. The density of states at the Fermi level is 1.46 states/eV/f.u.

abc: 7.643 7.643 6.416
angles: 96.10 96.10 38.93
Sites, in units of the cell vectors:
Ac 0.105 0.680 0.962
Ac 0.320 0.895 0.538
Ac 0.680 0.105 0.462
Ac 0.895 0.320 0.038
Si 0.000 0.500 0.500
Si 0.500 0.000 0.000
N 0.022 0.978 0.250
N 0.978 0.022 0.750



--- ii ---
The following is a GGA-PBE calculation of Ac2SiN after structural relaxation, from Alexandria.

The symmetry is No. 166. The magnetization comes out at 0.000 μB/atom. The density of states at the Fermi level is 1.58 states/eV/f.u.

abc: 7.914 7.914 7.914
angles: 29.42 29.42 29.42
Sites, in units of the cell vectors:
Ac 0.235 0.235 0.235
Ac 0.765 0.765 0.765
Si 0.000 0.000 0.000
N 0.500 0.500 0.500



Verdict on stability: i comes out on top.